Entry 1:
Material: DyScTlCo
Method: DFT, PBE-GGA
State: relaxed

It has space group F-43m (No. 216), with a = 7.0158 Å, b = 7.0158 Å, c = 7.0158 Å, α = 90.00°, β = 90.00° and γ = 90.00°. The distinct sites, in fractional coordinates, are Dy at (0.0000, 0.0000, 0.0000), Sc at (0.0000, 0.0000, 0.5000), Tl at (0.2500, 0.2500, 0.2500) and Co at (0.2500, 0.2500, 0.7500).

The calculation puts the density of states at the Fermi level at 0.699 states/eV/atom. Its size of the total moment is 1.15 μB/f.u. Its crystal system is cubic. The calculation puts the formation energy at -0.51 eV/f.u. The energy above the lowest structure with this stoichiometry is 0.154 eV/atom.

***

Entry 2:
Material: Ge2PtAu2
Method: DFT, PBE-GGA
State: relaxed

It has space group P4/mbm (No. 127), with a = 6.3952 Å, b = 6.3952 Å, c = 4.6357 Å, α = 90.00°, β = 90.00° and γ = 90.00°. The distinct sites, in fractional coordinates, are Ge at (0.1333, 0.3667, 0.0000), Pt at (0.0000, 0.0000, 0.0000) and Au at (0.2443, 0.7443, 0.5000).

The calculation puts the density of states at the Fermi level at 0.363 states/eV/atom. Its size of the total moment is 0.00 μB/f.u. Its crystal system is tetragonal. The calculation puts the formation energy at 0.02 eV/f.u. The energy above the lowest structure with this stoichiometry is 0.000 eV/atom.